A plane-wave DFT calculation with PBE was carried out for an optimized crystal structure of CsKI2.

Geometry as POSCAR:
```
CsKI2
1.0
-0.238 -4.390 -3.842
-2.809 -4.931 1.372
-9.917 0.857 -4.801
I Cs K
2 1 1
direct
0.898 0.898 0.307
0.102 0.102 0.693
0.500 0.500 0.500
0.000 0.000 0.000
```

Output
raw total energy: -2.56 eV per atom
energy above the most stable polymorph in this dataset: 208 meV/atom

---

A plane-wave DFT calculation with PBE was carried out for an optimized crystal structure of CsK4I2.

Geometry as POSCAR:
```
CsK4I2
1.0
-3.389 -0.030 6.767
-4.784 -5.342 -2.419
2.204 -9.732 5.293
K Cs I
4 1 2
direct
0.765 0.765 0.470
0.000 0.500 0.000
0.235 0.235 0.530
0.500 0.000 0.000
0.000 0.000 0.000
0.401 0.401 0.198
0.599 0.599 0.802
```

Output
raw total energy: -1.61 eV per atom

---

A plane-wave DFT calculation with PBE was carried out for an optimized crystal structure of CsK2I.

Geometry as POSCAR:
```
CsK2I
1.0
-1.923 -2.959 -3.630
-3.262 -3.681 1.199
-11.593 6.040 -2.311
I K Cs
1 2 1
direct
0.666 0.666 0.001
0.055 0.055 0.836
0.279 0.279 0.164
0.500 0.500 0.499
```

Output
raw total energy: -1.82 eV per atom
energy above the most stable polymorph in this dataset: 0 meV/atom

---

A plane-wave DFT calculation with PBE was carried out for an optimized crystal structure of CsK2I.

Geometry as POSCAR:
```
CsK2I
1.0
6.806 -2.317 0.070
1.633 -6.266 3.126
1.920 -5.635 -4.031
K Cs I
2 1 1
direct
0.250 0.250 0.250
0.750 0.750 0.750
0.500 0.500 0.500
0.000 0.000 0.000
```

Output
raw total energy: -1.55 eV per atom
energy above the most stable polymorph in this dataset: 269 meV/atom

---

A plane-wave DFT calculation with PBE was carried out for an optimized crystal structure of Cs5K12I3.

Geometry as POSCAR:
```
Cs5K12I3
1.0
21.756 0.000 0.000
-7.252 20.512 0.000
-7.252 -10.256 17.763
Cs I K
20 12 48
direct
0.875 0.625 0.750
0.625 0.875 0.250
0.500 0.000 0.500
0.375 0.250 0.125
0.500 0.500 0.500
0.125 0.375 0.250
0.000 0.500 0.500
0.875 0.250 0.625
0.500 0.500 0.000
0.500 0.000 0.000
0.000 0.000 0.500
0.750 0.625 0.375
0.000 0.500 0.000
0.250 0.375 0.625
0.250 0.875 0.125
0.375 0.125 0.750
0.000 0.000 0.000
0.625 0.750 0.875
0.750 0.125 0.875
0.125 0.750 0.375
0.875 0.125 0.250
0.750 0.875 0.625
0.625 0.250 0.375
0.875 0.750 0.125
0.750 0.375 0.125
0.375 0.750 0.625
0.125 0.250 0.875
0.375 0.625 0.250
0.625 0.375 0.750
0.250 0.125 0.375
0.125 0.875 0.750
0.250 0.625 0.875
0.876 0.853 0.747
0.147 0.124 0.753
0.124 0.977 0.371
0.523 0.894 0.647
0.147 0.023 0.894
0.371 0.477 0.124
0.023 0.876 0.129
0.977 0.853 0.606
0.747 0.394 0.371
0.129 0.753 0.606
0.876 0.023 0.629
0.894 0.371 0.247
0.477 0.371 0.624
0.129 0.376 0.023
0.629 0.106 0.253
0.647 0.394 0.523
0.606 0.353 0.977
0.371 0.894 0.747
0.394 0.747 0.871
0.624 0.871 0.477
0.853 0.977 0.106
0.871 0.247 0.394
0.106 0.477 0.853
0.629 0.523 0.876
0.523 0.629 0.376
0.106 0.629 0.753
0.253 0.647 0.124
0.353 0.606 0.477
0.606 0.253 0.129
0.253 0.606 0.629
0.477 0.106 0.353
0.977 0.124 0.871
0.647 0.253 0.624
0.376 0.247 0.353
0.894 0.523 0.147
0.124 0.147 0.253
0.747 0.353 0.876
0.376 0.129 0.523
0.753 0.129 0.106
0.871 0.624 0.977
0.023 0.147 0.394
0.353 0.747 0.376
0.853 0.876 0.247
0.247 0.376 0.853
0.624 0.753 0.647
0.394 0.647 0.023
0.753 0.624 0.147
0.247 0.871 0.894
```

Output
raw total energy: -1.33 eV per atom

---

A plane-wave DFT calculation with PBE was carried out for an optimized crystal structure of CsK2I.

Geometry as POSCAR:
```
CsK2I
1.0
-0.563 0.329 4.949
2.586 -3.025 3.013
10.760 8.262 3.193
Cs I K
1 1 2
direct
0.000 0.000 0.000
0.500 0.500 0.500
0.886 0.886 0.342
0.114 0.114 0.658
```

Output
raw total energy: -1.79 eV per atom
energy above the most stable polymorph in this dataset: 24 meV/atom

---

A plane-wave DFT calculation with PBE was carried out for an optimized crystal structure of Cs2KI7.

Geometry as POSCAR:
```
Cs2KI7
1.0
-3.376 8.096 -1.473
-1.126 -2.031 -8.586
-8.936 0.512 -3.556
Cs I K
2 7 1
direct
0.750 0.250 0.500
0.250 0.750 0.500
0.769 0.231 0.000
0.231 0.769 0.000
0.769 0.769 0.000
0.728 0.728 0.544
0.272 0.272 0.456
0.000 0.000 0.000
0.231 0.231 0.000
0.500 0.500 0.000
```

Output
raw total energy: -2.14 eV per atom

---

A plane-wave DFT calculation with PBE was carried out for an optimized crystal structure of Cs5KI5.

Geometry as POSCAR:
```
Cs5KI5
1.0
-1.255 -2.447 7.253
9.156 1.497 -2.058
-4.366 9.704 2.518
K I Cs
1 5 5
direct
0.000 0.000 0.000
0.500 0.000 0.000
0.839 0.678 0.679
0.843 0.685 0.157
0.157 0.315 0.843
0.161 0.322 0.321
0.336 0.673 0.169
0.328 0.655 0.672
0.000 0.000 0.500
0.664 0.327 0.831
0.672 0.345 0.328
```

Output
raw total energy: -2.56 eV per atom

---

A plane-wave DFT calculation with PBE was carried out for an optimized crystal structure of Cs12K5I3.

Geometry as POSCAR:
```
Cs12K5I3
1.0
-2.737 7.021 20.936
-16.502 -13.927 -5.370
19.500 -10.566 -1.790
I Cs K
12 48 20
direct
0.625 0.250 0.375
0.375 0.750 0.625
0.625 0.375 0.750
0.875 0.125 0.250
0.750 0.875 0.625
0.250 0.125 0.375
0.750 0.375 0.125
0.125 0.250 0.875
0.125 0.875 0.750
0.375 0.625 0.250
0.875 0.750 0.125
0.250 0.625 0.875
0.377 0.459 0.123
0.335 0.582 0.459
0.623 0.082 0.247
0.877 0.623 0.959
0.665 0.418 0.541
0.165 0.123 0.747
0.123 0.747 0.582
0.835 0.877 0.253
0.459 0.377 0.623
0.123 0.959 0.377
0.877 0.253 0.418
0.541 0.918 0.665
0.041 0.877 0.123
0.582 0.335 0.959
0.123 0.377 0.041
0.247 0.582 0.623
0.877 0.835 0.753
0.623 0.747 0.665
0.623 0.877 0.459
0.418 0.665 0.041
0.377 0.918 0.753
0.541 0.623 0.377
0.253 0.877 0.918
0.753 0.418 0.377
0.253 0.377 0.835
0.835 0.959 0.082
0.918 0.377 0.253
0.247 0.665 0.123
0.877 0.041 0.623
0.753 0.335 0.877
0.165 0.041 0.918
0.123 0.165 0.247
0.747 0.623 0.165
0.665 0.247 0.623
0.082 0.459 0.835
0.377 0.123 0.541
0.582 0.247 0.123
0.377 0.253 0.335
0.082 0.623 0.747
0.459 0.082 0.335
0.959 0.123 0.877
0.041 0.165 0.418
0.418 0.753 0.877
0.623 0.541 0.877
0.918 0.541 0.165
0.747 0.123 0.082
0.335 0.753 0.377
0.959 0.835 0.582
0.750 0.625 0.375
0.125 0.375 0.250
0.000 0.000 0.500
0.125 0.750 0.375
0.750 0.125 0.875
0.000 0.500 0.000
0.250 0.375 0.625
0.625 0.750 0.875
0.625 0.875 0.250
0.875 0.250 0.625
0.500 0.500 0.000
0.000 0.000 0.000
0.500 0.000 0.000
0.875 0.625 0.750
0.250 0.875 0.125
0.000 0.500 0.500
0.375 0.250 0.125
0.375 0.125 0.750
0.500 0.000 0.500
0.500 0.500 0.500
```

Output
raw total energy: -1.30 eV per atom

---

A plane-wave DFT calculation with PBE was carried out for an optimized crystal structure of Cs3K2I.

Geometry as POSCAR:
```
Cs3K2I
1.0
7.442 0.000 2.368
0.000 10.422 0.001
-0.023 -0.001 12.942
Cs K I
6 4 2
direct
0.882 0.000 0.236
0.501 0.250 0.000
0.118 0.000 0.764
0.118 0.500 0.764
0.499 0.750 0.000
0.882 0.500 0.236
0.299 0.250 0.406
0.701 0.750 0.594
0.295 0.750 0.406
0.705 0.250 0.594
0.001 0.250 0.000
0.999 0.750 0.000
```

Output
raw total energy: -1.53 eV per atom

---

A plane-wave DFT calculation with PBE was carried out for an optimized crystal structure of Cs2KI.

Geometry as POSCAR:
```
Cs2KI
1.0
0.000 5.211 5.211
5.211 0.000 5.211
5.211 5.211 0.000
Cs I K
2 1 1
direct
0.750 0.750 0.750
0.250 0.250 0.250
0.500 0.500 0.500
0.000 0.000 0.000
```

Output
raw total energy: -1.63 eV per atom
energy above the most stable polymorph in this dataset: 185 meV/atom

---

A plane-wave DFT calculation with PBE was carried out for an optimized crystal structure of Cs2KI2.

Geometry as POSCAR:
```
Cs2KI2
1.0
-4.964 -9.765 -2.328
7.204 -5.274 6.760
-2.878 0.617 3.549
Cs I K
4 4 2
direct
0.141 0.359 0.000
0.359 0.859 0.000
0.641 0.141 0.000
0.859 0.641 0.000
0.348 0.152 0.500
0.848 0.348 0.500
0.652 0.848 0.500
0.152 0.652 0.500
0.000 0.000 0.000
0.500 0.500 0.000
```

Output
raw total energy: -2.24 eV per atom
energy above the most stable polymorph in this dataset: 89 meV/atom